<a>
The following is a GGA-PBE calculation of an optimized crystal structure of LaPmGe, from Alexandria via LeMat-Bulk.

Calculated values
Total moment = 0.00 μB per formula unit

Cell and atoms, written as POSCAR:
```
LaPmGe
1.0
0.0000 3.6065 3.6065
3.6065 0.0000 3.6065
3.6065 3.6065 0.0000
La Pm Ge
1 1 1
direct
0.0000 0.0000 0.0000 La
0.5000 0.5000 0.5000 Pm
0.7500 0.7500 0.7500 Ge
```

<b>
The following is a GGA-PBE calculation of an optimized crystal structure of LaPmGe, from Alexandria via LeMat-Bulk.

Calculated values
Total moment = 0.43 μB per formula unit

Cell and atoms, written as POSCAR:
```
LaPmGe
1.0
4.5686 0.0000 0.0000
0.0000 4.5686 0.0000
0.0000 0.0000 8.4018
La Pm Ge
2 2 2
direct
0.2500 0.2500 0.1405 La
0.7500 0.7500 0.8595 La
0.2500 0.7500 0.5000 Pm
0.7500 0.2500 0.5000 Pm
0.2500 0.2500 0.7657 Ge
0.7500 0.7500 0.2343 Ge
```

It turns out <b> is the most stable, with the second structure 43 meV/atom higher.

<a>
The following is a GGA-PBE calculation of an optimized crystal structure of LaPmGe, from Alexandria via LeMat-Bulk.

Calculated values
Total moment = 0.57 μB per formula unit

Cell and atoms, written as POSCAR:
```
LaPmGe
1.0
8.2279 0.0000 0.0000
-4.1140 7.1256 0.0000
0.0000 0.0000 4.3988
La Pm Ge
3 3 3
direct
0.0000 0.4106 0.0000 La
0.4106 0.0000 0.0000 La
0.5894 0.5894 0.0000 La
0.0000 0.7366 0.5000 Pm
0.2634 0.2634 0.5000 Pm
0.7366 0.0000 0.5000 Pm
0.0000 0.0000 0.0000 Ge
0.3333 0.6667 0.5000 Ge
0.6667 0.3333 0.5000 Ge
```

<b>
The following is a GGA-PBE calculation of an optimized crystal structure of LaPmGe, from Alexandria via LeMat-Bulk.

Calculated values
Total moment = 0.00 μB per formula unit

Cell and atoms, written as POSCAR:
```
LaPmGe
1.0
4.8323 0.0000 0.0000
-2.4162 4.1849 0.0000
0.0000 0.0000 4.3654
La Pm Ge
1 1 1
direct
0.0000 0.0000 0.0000 La
0.6667 0.3333 0.5461 Pm
0.3333 0.6667 0.3582 Ge
```

It turns out <a> is the most stable, with the second structure 199 meV/atom higher.